# 1
Crystalline Zr2TaMoH at its relaxed geometry, computed with PBE.

- total energy (eV/atom) = -8.626

Cell lengths 4.7367, 4.7367, 3.6002 Å; angles 90.00, 90.00, 90.00 degrees
Last column: nearest neighbours and their distance in Å.
Space group P4/mmm (No. 123)
Asymmetric unit:
1 Zr 0.0000 0.5000 0.0000 [2 per cell]  2 H 2.37
2 Ta 0.0000 0.0000 0.5000 [1 per cell]  8 Zr 2.97
3 Mo 0.5000 0.5000 0.5000 [1 per cell]  2 H 1.80
4 H 0.5000 0.5000 0.0000 [1 per cell]  2 Mo 1.80

***

# 2
Crystalline Os2RhPbO8 at its relaxed geometry, computed with PBE.

- total energy (eV/atom) = -6.963
- E_form (uncorrected) (kcal/mol of atoms) = -19.93

Cell lengths 6.6219, 6.8233, 6.5230 Å; angles 90.00, 90.00, 90.00 degrees
Last column: nearest neighbours and their distance in Å.
Space group Cmmm (No. 65)
Asymmetric unit:
1 Os 0.0000 0.0000 0.2408 [4 per cell]  6 O 1.89-2.04
2 Rh 0.0000 0.5000 0.0000 [2 per cell]  6 O 2.05-2.13
3 Pb 0.0000 0.5000 0.5000 [2 per cell]  6 O 2.27-2.29
4 O 0.0000 0.1670 0.5000 [4 per cell]  2 Os 2.04, 1 Pb 2.27, 1 O 2.28
5 O 0.0000 0.1880 0.0000 [4 per cell]  2 Os 2.03, 1 Rh 2.13
6 O 0.2148 0.5000 0.2254 [8 per cell]  1 Os 1.89, 1 Rh 2.05

***

# 3
Crystalline CuTe4Os at its relaxed geometry, computed with PBE.

- total energy (eV/atom) = -3.094
- E_form (uncorrected) (kcal/mol of atoms) = 35.86

Cell lengths 8.6995, 8.6995, 8.6995 Å; angles 90.00, 90.00, 90.00 degrees
Last column: nearest neighbours and their distance in Å.
Space group F-43m (No. 216)
Asymmetric unit:
1 Cu 0.0000 0.0000 0.0000 [4 per cell]  12 Te 3.61, 4 Os 3.77
2 Te 0.1246 0.1246 0.3754 [16 per cell]  6 Te 3.07-3.09
3 Os 0.2500 0.2500 0.7500 [4 per cell]  12 Te 3.61, 4 Cu 3.77

***

# 4
Crystalline Nd2Al6Ir at its relaxed geometry, computed with PBE.

- formation energy (eV/atom) = -0.535
- total energy (eV/atom) = -5.074

Cell lengths 5.9369, 5.9369, 5.8627 Å; angles 90.00, 90.00, 120.00 degrees
Last column: nearest neighbours and their distance in Å.
Space group P-3m1 (No. 164)
Asymmetric unit:
1 Nd 0.3333 0.6667 0.1487 [2 per cell]  9 Al 3.13-3.20
2 Al 0.1708 0.3415 0.6832 [6 per cell]  1 Ir 2.56, 2 Al 2.77
3 Ir 0.0000 0.0000 0.0000 [1 per cell]  6 Al 2.56

***

# 5
Crystalline ScTlZn2 at its relaxed geometry, computed with PBE.

- formation energy (eV/atom) = -0.096
- ΔE to the lowest computed polymorph (meV per atom) = 74
- total energy (eV/atom) = -2.907

Cell lengths 3.1648, 4.5347, 5.6763 Å; angles 90.00, 90.13, 90.00 degrees
Last column: nearest neighbours and their distance in Å.
Space group P2/m (No. 10)
Asymmetric unit:
1 Sc 0.0000 0.0000 0.0000 [1 per cell]  8 Zn 3.03-3.04, 2 Sc 3.16, 4 Tl 3.25
2 Tl 0.5000 0.0000 0.5000 [1 per cell]  4 Zn 2.77
3 Zn 0.4965 0.5000 0.7810 [2 per cell]  1 Zn 2.49, 2 Tl 2.77

***

# 6
Crystalline Pr2Sb4Rh3Au at its relaxed geometry, computed with PBE.

- total energy (eV/atom) = -5.878
- E_form (uncorrected) (kcal/mol of atoms) = -17.06

Cell lengths 4.6252, 4.6252, 10.5253 Å; angles 90.00, 90.00, 90.00 degrees
Last column: nearest neighbours and their distance in Å.
Space group P-4m2 (No. 115)
Asymmetric unit:
1 Pr 0.0000 0.5000 0.2486 [2 per cell]  8 Sb 3.47-3.51, 7 Rh 3.49-3.88, 2 Au 3.49
2 Sb 0.0000 0.0000 0.5000 [1 per cell]  4 Rh 2.62
3 Sb 0.0000 0.5000 0.8618 [2 per cell]  3 Rh 2.57-2.73, 2 Au 2.73
4 Sb 0.5000 0.5000 0.5000 [1 per cell]  4 Rh 2.62
5 Rh 0.0000 0.0000 0.0000 [1 per cell]  4 Sb 2.73
6 Rh 0.0000 0.5000 0.6177 [2 per cell]  5 Sb 2.57-2.62
7 Au 0.5000 0.5000 0.0000 [1 per cell]  4 Sb 2.73

***

# 7
Crystalline LiPuNp2Se4 at its relaxed geometry, computed with PBE.

- total energy (eV/atom) = -8.264
- E_form (uncorrected) (kcal/mol of atoms) = -28.96

Cell lengths 7.0955, 4.1019, 7.1268 Å; angles 90.00, 109.37, 90.00 degrees
Last column: nearest neighbours and their distance in Å.
Space group P2/m (No. 10)
Asymmetric unit:
1 Li 0.0000 0.0000 0.0000 [1 per cell]  6 Se 2.87-2.88
2 Pu 0.5000 0.5000 0.0000 [1 per cell]  6 Se 2.91
3 Np 0.0000 0.5000 0.5000 [1 per cell]  6 Se 2.89-2.90
4 Np 0.5000 0.0000 0.5000 [1 per cell]  6 Se 2.93
5 Se 0.2445 0.5000 0.2460 [2 per cell]  2 Li 2.88, 3 Np 2.89-2.93, 1 Pu 2.91
6 Se 0.2461 0.0000 0.7512 [2 per cell]  1 Li 2.87, 3 Np 2.90-2.93, 2 Pu 2.91

***

# 8
Crystalline Pa3Si at its relaxed geometry, computed with PBE.

- ΔE to the lowest computed polymorph (meV per atom) = 99
- total energy (eV/atom) = -8.680
- E_form (uncorrected) (kcal/mol of atoms) = -4.67

Cell lengths 3.1569, 10.2910, 5.4806 Å; angles 90.00, 90.00, 90.00 degrees
Last column: nearest neighbours and their distance in Å.
Space group Imm2 (No. 44)
Asymmetric unit:
1 Pa 0.0000 0.0000 0.0000 [2 per cell]  8 Pa 3.02-3.29, 4 Si 3.06-3.26
2 Pa 0.0000 0.2347 0.3319 [4 per cell]  9 Pa 3.02-3.29, 3 Si 3.07-3.22
3 Si 0.0000 0.5000 0.0211 [2 per cell]  10 Pa 3.06-3.26, 2 Si 3.16

***

| no. | V (Å³ per atom) |
| --- | --- |
| 1 | 16.2 |
| 2 | 12.3 |
| 3 | 27.4 |
| 4 | 19.9 |
| 5 | 20.4 |
| 6 | 22.5 |
| 7 | 24.5 |
| 8 | 22.3 |